# CaIn2Cl PBE relaxed
data_CaIn2Cl
_cell_length_a 5.023
_cell_length_b 5.023
_cell_length_c 8.389
_cell_angle_alpha 90.00
_cell_angle_beta 90.00
_cell_angle_gamma 90.00
_space_group_name_H-M_alt 'I -4 m 2'
_space_group_IT_number 119
_space_group_name_Hall 'I -4 -2'
loop_
_atom_site_label
_atom_site_fract_x
_atom_site_fract_y
_atom_site_fract_z
Ca1 0.000 0.000 0.000
In1 0.000 0.000 0.500
In2 0.000 0.500 0.250
Cl1 0.000 0.500 0.750
# Total DFT energy (no corrections), eV for the cell shown: -23.01
# Energy relative to the elements, uncorrected, meV per atom: -545
# Excess energy over the best structure of this formula in the dataset, meV/atom: 286.5